# 1
KTa: optimized geometry, PBE-GGA.

Unit cell a=2.9031 b=7.0527 c=13.2402 alpha=90.00 beta=90.00 gamma=90.00
Last column: nearest neighbours and their distance in Å.
Fractional positions:
K: 0.7500 0.8985 0.1527  2 K 2.90
K: 0.2500 0.3985 0.3473  2 K 2.90
K: 0.7500 0.6015 0.6527  2 K 2.90
K: 0.2500 0.1015 0.8473  2 K 2.90
Ta: 0.7500 0.4086 0.0641  2 Ta 2.58
Ta: 0.2500 0.9086 0.4359  2 Ta 2.58
Ta: 0.7500 0.0914 0.5641  2 Ta 2.58
Ta: 0.2500 0.5914 0.9359  2 Ta 2.58

The calculation puts the formation enthalpy at 0 K at 1242 meV per atom. The density of states at the Fermi level is 0.917 states/eV/atom. Its space group is No. 62. The magnetization is 0.000 μB/atom.

---

# 2
K3Ta: optimized geometry, PBE-GGA.

Unit cell a=6.5047 b=3.0390 c=7.8365 alpha=83.43 beta=90.00 gamma=90.00
Last column: nearest neighbours and their distance in Å.
Fractional positions:
K: 0.0000 0.9036 0.0308  2 K 3.04
K: 0.5000 0.7500 0.7500  2 K 3.04
K: 0.0000 0.5964 0.4692  2 K 3.04
Ta: 0.5000 0.2500 0.2500  2 Ta 3.04

The calculation puts the formation enthalpy at 0 K at 1257 meV per atom. The density of states at the Fermi level is 1.043 states/eV/atom. Its space group is No. 10. The magnetization is 0.280 μB/atom.